Pm3Sm4Sn5 | PBE-GGA | optimized geometry

Final energy: -4.89 eV/atom
Space group: No. 12
Formation enthalpy at 0 K: -0.464 eV per atom

Lattice parameters (Å, degrees): 8.4251 8.4251 9.2647 117.46 117.46 40.72
With the nearest neighbours (Å) after each atom.
Fractional positions:
Pm: 0.0000 0.0000 0.0000  4 Sn 2.93-3.09
Pm: 0.2660 0.2660 0.7074  5 Sn 3.06-3.34, 1 Sm 3.22
Pm: 0.7340 0.7340 0.2926  5 Sn 3.06-3.34, 1 Sm 3.22
Sm: 0.3237 0.3237 0.1292  4 Sn 3.31-3.53, 1 Sm 3.44, 1 Pm 3.55
Sm: 0.4304 0.4304 0.5977  1 Pm 3.22, 4 Sn 3.32-3.52, 2 Sm 3.44-3.47
Sm: 0.5696 0.5696 0.4023  1 Pm 3.22, 4 Sn 3.32-3.52, 2 Sm 3.44-3.47
Sm: 0.6763 0.6763 0.8708  4 Sn 3.31-3.53, 1 Sm 3.44, 1 Pm 3.55
Sn: 0.0724 0.0724 0.7213  2 Pm 3.12-3.30, 2 Sm 3.31
Sn: 0.1938 0.1938 0.3304  4 Pm 3.06-3.09, 2 Sm 3.32-3.38
Sn: 0.5000 0.5000 0.0000  2 Pm 2.93
Sn: 0.8062 0.8062 0.6696  4 Pm 3.06-3.09, 2 Sm 3.32-3.38
Sn: 0.9276 0.9276 0.2787  2 Pm 3.12-3.30, 2 Sm 3.31

Pm2Sm3Sn3 | PBE-GGA | optimized geometry

Final energy: -5.04 eV/atom
Space group: No. 63
Formation enthalpy at 0 K: -0.577 eV per atom

Lattice parameters (Å, degrees): 7.3405 7.3405 15.5542 90.00 90.00 142.84
With the nearest neighbours (Å) after each atom.
Fractional positions:
Pm: 0.2274 0.7726 0.5963  4 Sn 3.09-3.22
Pm: 0.2274 0.7726 0.9037  4 Sn 3.09-3.22
Pm: 0.7726 0.2274 0.0963  4 Sn 3.09-3.22
Pm: 0.7726 0.2274 0.4037  4 Sn 3.09-3.22
Sm: 0.0551 0.9449 0.1171  6 Sn 3.26-3.42
Sm: 0.0551 0.9449 0.3829  6 Sn 3.26-3.42
Sm: 0.3789 0.6211 0.2500  3 Sn 3.30-3.39, 4 Pm 3.66
Sm: 0.6211 0.3789 0.7500  3 Sn 3.30-3.39, 4 Pm 3.66
Sm: 0.9449 0.0551 0.6171  6 Sn 3.26-3.42
Sm: 0.9449 0.0551 0.8829  6 Sn 3.26-3.42
Sn: 0.3775 0.6225 0.7500  2 Pm 3.18, 5 Sm 3.26-3.39
Sn: 0.4031 0.5969 0.0388  1 Sn 2.96, 3 Pm 3.09-3.22, 1 Sm 3.30
Sn: 0.4031 0.5969 0.4612  1 Sn 2.96, 3 Pm 3.09-3.22, 1 Sm 3.30
Sn: 0.5969 0.4031 0.5388  1 Sn 2.96, 3 Pm 3.09-3.22, 1 Sm 3.30
Sn: 0.5969 0.4031 0.9612  1 Sn 2.96, 3 Pm 3.09-3.22, 1 Sm 3.30
Sn: 0.6225 0.3775 0.2500  2 Pm 3.18, 5 Sm 3.26-3.39

Among the records above, which one has the lowest formation enthalpy at 0 K? Pm2Sm3Sn3

Among the records above, which one has the highest final energy? Pm3Sm4Sn5

The highest final energy belongs to which entry? Pm3Sm4Sn5

Look up the final energy of the second one. -5.04 eV/atom